Material: K2UCu2Se6
Method: DFT, PBE
State: optimized geometry

**Total moment**: 0.0 Bohr magnetons per cell
**Formation energy without anion corrections**: -15.0 kcal/mol of atoms
**Raw total energy**: -49.73 eV per cell

```
data_K2UCu2Se6
_space_group_name_H-M_alt 'P -3'
_space_group_IT_number 147
_cell_length_a 7.5062
_cell_length_b 7.5062
_cell_length_c 6.9716
_cell_angle_alpha 90.00
_cell_angle_beta 90.00
_cell_angle_gamma 120.00
loop_
_space_group_symop_operation_xyz
'x,y,z'
'-x,-y,-z'
'-y,x-y,z'
'y,-x+y,-z'
'-x+y,-x,z'
'x-y,x,-z'
loop_
_atom_site_label
_atom_site_type_symbol
_atom_site_fract_x
_atom_site_fract_y
_atom_site_fract_z
K1 K 0.3333 0.6667 0.2842
U1 U 0.0000 0.0000 0.0000
Cu1 Cu 0.3333 0.6667 0.7869
Se1 Se 0.1189 0.3179 0.7567
```

***

Material: NpScAs2
Method: DFT, PBE
State: optimized geometry

**Total moment**: 11.9 Bohr magnetons per cell
**Formation energy from the elements**: -88.56 kJ/mol of atoms
**Polymorph energy (0 for the lowest one)**: 0.1062 eV per atom
**Raw total energy**: -96.73 eV per cell

```
data_NpScAs2
_space_group_name_H-M_alt 'R 3 m'
_space_group_IT_number 160
_space_group_name_Hall 'R 3 -2"'
_cell_length_a 3.8654
_cell_length_b 3.8654
_cell_length_c 21.0042
_cell_angle_alpha 90.00
_cell_angle_beta 90.00
_cell_angle_gamma 120.00
loop_
_atom_site_label
_atom_site_type_symbol
_atom_site_fract_x
_atom_site_fract_y
_atom_site_fract_z
Np1 Np 0.0000 0.0000 0.0000
Sc1 Sc 0.0000 0.0000 0.1707
As1 As 0.0000 0.0000 0.5786
As2 As 0.0000 0.0000 0.7578
```

***

Material: MoP
Method: DFT, PBE
State: optimized geometry

**Total moment**: 0.0 Bohr magnetons per cell
**Formation energy from the elements**: -3.45 kJ/mol of atoms
**Raw total energy**: -32.63 eV per cell

```
data_MoP
_space_group_name_H-M_alt 'P 63 m c'
_space_group_IT_number 186
_space_group_name_Hall 'P 6c -2c'
_cell_length_a 3.0474
_cell_length_b 3.0474
_cell_length_c 8.1399
_cell_angle_alpha 90.00
_cell_angle_beta 90.00
_cell_angle_gamma 120.00
loop_
_atom_site_label
_atom_site_type_symbol
_atom_site_fract_x
_atom_site_fract_y
_atom_site_fract_z
Mo1 Mo 0.3333 0.6667 0.0000
P1 P 0.3333 0.6667 0.6993
```